[1]
# WSeBr2

A relaxed structure of WSeBr2 (PBE, Alexandria via LeMat-Bulk).

Values from the calculation:
The calculation puts the energy relative to the lowest polymorph listed for this composition at 0.000 eV/atom. The calculation puts the total energy at -20.6 eV per cell.

```
data_WSeBr2
_space_group_name_H-M_alt 'P 1 m 1'
_space_group_IT_number 6
_cell_length_a 6.723
_cell_length_b 3.312
_cell_length_c 6.749
_cell_angle_alpha 90.00
_cell_angle_beta 118.91
_cell_angle_gamma 90.00
loop_
_space_group_symop_operation_xyz
'x,y,z'
'x,-y,z'
loop_
_atom_site_label
_atom_site_type_symbol
_atom_site_fract_x
_atom_site_fract_y
_atom_site_fract_z
W1 W 0.000 0.000 0.000
Se1 Se 0.981 0.500 0.258
Br1 Br 0.288 0.500 0.996
Br2 Br 0.633 0.000 0.668
```


[2]
# WSeBr2

A relaxed structure of WSeBr2 (PBE, Alexandria via LeMat-Bulk).

Values from the calculation:
The calculation puts the energy relative to the lowest polymorph listed for this composition at 0.366 eV/atom. The calculation puts the total energy at -38.2 eV per cell.

```
data_WSeBr2
_space_group_name_H-M_alt 'I m m m'
_space_group_IT_number 71
_space_group_name_Hall '-I 2 2'
_cell_length_a 3.148
_cell_length_b 4.465
_cell_length_c 15.083
_cell_angle_alpha 90.00
_cell_angle_beta 90.00
_cell_angle_gamma 90.00
loop_
_atom_site_label
_atom_site_type_symbol
_atom_site_fract_x
_atom_site_fract_y
_atom_site_fract_z
W1 W 0.000 0.000 0.000
Se1 Se 0.000 0.000 0.500
Br1 Br 0.000 0.500 0.357
```


[3]
# WSe2Br

A relaxed structure of WSe2Br (PBE, Alexandria via LeMat-Bulk).

Values from the calculation:
The calculation puts the energy relative to the lowest polymorph listed for this composition at 0.880 eV/atom. The calculation puts the total energy at -58.3 eV per cell.

```
data_WSe2Br
_space_group_name_H-M_alt 'R -3 m'
_space_group_IT_number 166
_space_group_name_Hall '-R 3 2"'
_cell_length_a 2.8957
_cell_length_b 2.8957
_cell_length_c 38.6800
_cell_angle_alpha 90.00
_cell_angle_beta 90.00
_cell_angle_gamma 120.00
loop_
_atom_site_label
_atom_site_type_symbol
_atom_site_fract_x
_atom_site_fract_y
_atom_site_fract_z
W1 W 0.0000 0.0000 0.0000
Se1 Se 0.0000 0.0000 0.0664
Br1 Br 0.0000 0.0000 0.5000
```


[4]
# WSe2Br

A relaxed structure of WSe2Br (PBE, Alexandria via LeMat-Bulk).

Values from the calculation:
The calculation puts the energy relative to the lowest polymorph listed for this composition at 0.260 eV/atom. The calculation puts the total energy at -21.9 eV per cell.

```
data_WSe2Br
_space_group_name_H-M_alt 'P 4/m m m'
_space_group_IT_number 123
_space_group_name_Hall '-P 4 2'
_cell_length_a 3.066
_cell_length_b 3.066
_cell_length_c 10.098
_cell_angle_alpha 90.00
_cell_angle_beta 90.00
_cell_angle_gamma 90.00
loop_
_atom_site_label
_atom_site_type_symbol
_atom_site_fract_x
_atom_site_fract_y
_atom_site_fract_z
W1 W 0.000 0.000 0.000
Se1 Se 0.500 0.500 0.156
Br1 Br 0.000 0.000 0.500
```


[5]
# WSe2Br

A relaxed structure of WSe2Br (PBE, Alexandria via LeMat-Bulk).

Values from the calculation:
The calculation puts the energy relative to the lowest polymorph listed for this composition at 0.140 eV/atom. The calculation puts the total energy at -22.4 eV per cell.

```
data_WSe2Br
_space_group_name_H-M_alt 'P 1 m 1'
_space_group_IT_number 6
_cell_length_a 6.608
_cell_length_b 3.326
_cell_length_c 6.752
_cell_angle_alpha 90.00
_cell_angle_beta 115.18
_cell_angle_gamma 90.00
loop_
_space_group_symop_operation_xyz
'x,y,z'
'x,-y,z'
loop_
_atom_site_label
_atom_site_type_symbol
_atom_site_fract_x
_atom_site_fract_y
_atom_site_fract_z
W1 W 0.000 0.000 0.000
Se1 Se 0.322 0.000 0.308
Se2 Se 0.760 0.500 0.069
Br1 Br 0.055 0.500 0.729
```


[6]
# WSe2Br

A relaxed structure of WSe2Br (PBE, Alexandria via LeMat-Bulk).

Values from the calculation:
The calculation puts the energy relative to the lowest polymorph listed for this composition at 0.860 eV/atom. The calculation puts the total energy at -39.0 eV per cell.

```
data_WSe2Br
_space_group_name_H-M_alt 'C m m 2'
_space_group_IT_number 35
_cell_length_a 3.137
_cell_length_b 5.358
_cell_length_c 10.765
_cell_angle_alpha 90.00
_cell_angle_beta 90.00
_cell_angle_gamma 90.00
loop_
_space_group_symop_operation_xyz
'x,y,z'
'-x,-y,z'
'-x,y,z'
'x,-y,z'
'x+1/2,y+1/2,z'
'-x+1/2,-y+1/2,z'
'-x+1/2,y+1/2,z'
'x+1/2,-y+1/2,z'
loop_
_atom_site_label
_atom_site_type_symbol
_atom_site_fract_x
_atom_site_fract_y
_atom_site_fract_z
W1 W 0.000 0.000 0.000
Se1 Se 0.000 0.000 0.492
Se2 Se 0.000 0.500 0.181
Br1 Br 0.000 0.500 0.802
```


[7]
# YWSe2Br

A relaxed structure of YWSe2Br (PBE, Alexandria via LeMat-Bulk).

Values from the calculation:
The calculation puts the energy relative to the lowest polymorph listed for this composition at 0.490 eV/atom. The calculation puts the total energy at -25.7 eV per cell.

```
data_YWSe2Br
_space_group_name_H-M_alt 'P 4/m m m'
_space_group_IT_number 123
_space_group_name_Hall '-P 4 2'
_cell_length_a 5.501
_cell_length_b 5.501
_cell_length_c 5.286
_cell_angle_alpha 90.00
_cell_angle_beta 90.00
_cell_angle_gamma 90.00
loop_
_atom_site_label
_atom_site_type_symbol
_atom_site_fract_x
_atom_site_fract_y
_atom_site_fract_z
Y1 Y 0.000 0.000 0.000
W1 W 0.500 0.500 0.500
Se1 Se 0.000 0.500 0.000
Br1 Br 0.000 0.000 0.500
```


[8]
# YWSeBr2

A relaxed structure of YWSeBr2 (PBE, Alexandria via LeMat-Bulk).

Values from the calculation:
The calculation puts the energy relative to the lowest polymorph listed for this composition at 0.000 eV/atom. The calculation puts the total energy at -25.3 eV per cell.

```
data_YWSeBr2
_space_group_name_H-M_alt 'P 4/m m m'
_space_group_IT_number 123
_space_group_name_Hall '-P 4 2'
_cell_length_a 5.118
_cell_length_b 5.118
_cell_length_c 4.964
_cell_angle_alpha 90.00
_cell_angle_beta 90.00
_cell_angle_gamma 90.00
loop_
_atom_site_label
_atom_site_type_symbol
_atom_site_fract_x
_atom_site_fract_y
_atom_site_fract_z
Y1 Y 0.000 0.000 0.000
W1 W 0.500 0.500 0.500
Se1 Se 0.500 0.500 0.000
Br1 Br 0.000 0.500 0.500
```


[9]
# YWSeBr2

A relaxed structure of YWSeBr2 (PBE, Alexandria via LeMat-Bulk).

Values from the calculation:
The calculation puts the energy relative to the lowest polymorph listed for this composition at 0.062 eV/atom. The calculation puts the total energy at -24.9 eV per cell.

```
data_YWSeBr2
_space_group_name_H-M_alt 'P 4/m m m'
_space_group_IT_number 123
_space_group_name_Hall '-P 4 2'
_cell_length_a 5.426
_cell_length_b 5.426
_cell_length_c 5.670
_cell_angle_alpha 90.00
_cell_angle_beta 90.00
_cell_angle_gamma 90.00
loop_
_atom_site_label
_atom_site_type_symbol
_atom_site_fract_x
_atom_site_fract_y
_atom_site_fract_z
Y1 Y 0.000 0.000 0.000
W1 W 0.500 0.500 0.500
Se1 Se 0.000 0.000 0.500
Br1 Br 0.000 0.500 0.000
```


[10]
# YWSe2Br

A relaxed structure of YWSe2Br (PBE, Alexandria via LeMat-Bulk).

Values from the calculation:
The calculation puts the energy relative to the lowest polymorph listed for this composition at 0.000 eV/atom. The calculation puts the total energy at -28.2 eV per cell.

```
data_YWSe2Br
_space_group_name_H-M_alt 'P 4/m m m'
_space_group_IT_number 123
_space_group_name_Hall '-P 4 2'
_cell_length_a 4.902
_cell_length_b 4.902
_cell_length_c 5.235
_cell_angle_alpha 90.00
_cell_angle_beta 90.00
_cell_angle_gamma 90.00
loop_
_atom_site_label
_atom_site_type_symbol
_atom_site_fract_x
_atom_site_fract_y
_atom_site_fract_z
Y1 Y 0.000 0.000 0.000
W1 W 0.500 0.500 0.500
Se1 Se 0.000 0.500 0.500
Br1 Br 0.500 0.500 0.000
```


[11]
# ZnWSeBr2

A relaxed structure of ZnWSeBr2 (PBE, Alexandria via LeMat-Bulk).

Values from the calculation:
The calculation puts the energy relative to the lowest polymorph listed for this composition at 0.000 eV/atom. The calculation puts the total energy at -19.6 eV per cell.

```
data_ZnWSeBr2
_space_group_name_H-M_alt 'P 4/m m m'
_space_group_IT_number 123
_space_group_name_Hall '-P 4 2'
_cell_length_a 5.288
_cell_length_b 5.288
_cell_length_c 4.861
_cell_angle_alpha 90.00
_cell_angle_beta 90.00
_cell_angle_gamma 90.00
loop_
_atom_site_label
_atom_site_type_symbol
_atom_site_fract_x
_atom_site_fract_y
_atom_site_fract_z
Zn1 Zn 0.000 0.000 0.000
W1 W 0.500 0.500 0.500
Se1 Se 0.500 0.500 0.000
Br1 Br 0.000 0.500 0.500
```


[12]
# ZnWSeBr2

A relaxed structure of ZnWSeBr2 (PBE, Alexandria via LeMat-Bulk).

Values from the calculation:
The calculation puts the energy relative to the lowest polymorph listed for this composition at 0.695 eV/atom. The calculation puts the total energy at -16.2 eV per cell.

```
data_ZnWSeBr2
_space_group_name_H-M_alt 'P 4/m m m'
_space_group_IT_number 123
_space_group_name_Hall '-P 4 2'
_cell_length_a 4.901
_cell_length_b 4.901
_cell_length_c 5.294
_cell_angle_alpha 90.00
_cell_angle_beta 90.00
_cell_angle_gamma 90.00
loop_
_atom_site_label
_atom_site_type_symbol
_atom_site_fract_x
_atom_site_fract_y
_atom_site_fract_z
Zn1 Zn 0.000 0.000 0.000
W1 W 0.500 0.500 0.500
Se1 Se 0.000 0.000 0.500
Br1 Br 0.000 0.500 0.000
```